VASP calculation (PBE) on a relaxed Re3BRh crystal.

Lattice parameters (Å, degrees): 4.668 4.668 4.668 90.00 90.00 90.00
Space group Pm-3m (No. 221)
Asymmetric unit:
1 Re 0.000 0.000 0.500 (multiplicity 3)
2 B 0.500 0.500 0.500 (multiplicity 1)
3 Rh 0.000 0.000 0.000 (multiplicity 1)

Its energy is -7.084 eV/atom. As for the formation enthalpy at 0 K: 3190 meV per atom.